(1)
The following is a PBE calculation of a geometry-optimized Rb2SnHgCl6 structure, from Alexandria.

```
Rb2SnHgCl6
1.0
7.606 0.000 0.000
3.667 6.667 0.000
3.666 2.171 6.304
Rb Sn Hg Cl
2 1 1 6
direct
0.000 0.000 0.000
0.492 0.492 0.491
0.748 0.748 0.747
0.248 0.248 0.247
0.004 0.560 0.428
0.068 0.494 0.934
0.428 0.005 0.560
0.494 0.936 0.067
0.561 0.428 0.005
0.936 0.068 0.491
```

Results
* volume: 32.0 Å³/atom
* formation energy from raw total energies: -12.8 eV per formula unit
* density: 3.651 g/cm3

***

(2)
The following is a PBE calculation of a geometry-optimized Rb2SrHgCl6 structure, from Alexandria.

```
Rb2SrHgCl6
1.0
7.591 0.000 0.000
0.000 7.851 0.000
-7.499 0.000 10.817
Rb Sr Hg Cl
4 2 2 12
direct
0.229 0.061 0.249
0.229 0.439 0.749
0.771 0.561 0.251
0.771 0.939 0.751
0.500 0.000 0.000
0.500 0.500 0.500
0.000 0.000 0.500
0.000 0.500 0.000
0.149 0.211 0.953
0.149 0.289 0.453
0.245 0.699 0.956
0.245 0.801 0.456
0.329 0.022 0.740
0.329 0.478 0.240
0.671 0.522 0.760
0.671 0.978 0.260
0.755 0.199 0.544
0.755 0.301 0.044
0.851 0.711 0.547
0.851 0.789 0.047
```

Results
* E above lowest polymorph: 0.0 meV per atom
* volume: 32.2 Å³/atom
* formation energy from raw total energies: -17.0 eV per formula unit
* density: 3.461 g/cm3

***

(3)
The following is a PBE calculation of a geometry-optimized Rb2SrHgCl6 structure, from Alexandria.

```
Rb2SrHgCl6
1.0
0.000 5.523 5.523
5.523 0.000 5.523
5.523 5.523 0.000
Rb Sr Hg Cl
2 1 1 6
direct
0.250 0.250 0.250
0.750 0.750 0.750
0.000 0.000 0.000
0.500 0.500 0.500
0.257 0.257 0.743
0.257 0.743 0.257
0.257 0.743 0.743
0.743 0.257 0.257
0.743 0.257 0.743
0.743 0.743 0.257
```

Results
* E above lowest polymorph: 29.8 meV per atom
* volume: 33.7 Å³/atom
* formation energy from raw total energies: -16.7 eV per formula unit
* density: 3.310 g/cm3

***

(4)
The following is a PBE calculation of a geometry-optimized RbTbHg2Cl8 structure, from Alexandria.

```
RbTbHg2Cl8
1.0
6.734 0.000 0.000
0.587 6.869 0.000
1.553 2.855 8.682
Rb Tb Hg Cl
1 1 2 8
direct
0.000 0.000 0.000
0.000 0.000 0.500
0.471 0.466 0.232
0.529 0.534 0.768
0.134 0.736 0.745
0.198 0.807 0.317
0.326 0.235 0.474
0.411 0.266 0.995
0.589 0.734 0.005
0.674 0.765 0.526
0.802 0.193 0.683
0.866 0.264 0.255
```

Results
* volume: 33.5 Å³/atom
* formation energy from raw total energies: -16.3 eV per formula unit
* density: 3.842 g/cm3

***

(5)
The following is a PBE calculation of a geometry-optimized RbTcHgCl6 structure, from Alexandria.

```
RbTcHgCl6
1.0
7.675 0.000 0.000
-3.838 6.647 0.000
0.000 0.000 10.752
Rb Tc Hg Cl
2 2 2 12
direct
0.333 0.667 0.250
0.667 0.333 0.750
0.333 0.667 0.750
0.667 0.333 0.250
0.000 0.000 0.000
0.000 0.000 0.500
0.085 0.412 0.621
0.085 0.673 0.879
0.327 0.412 0.879
0.327 0.915 0.621
0.412 0.085 0.121
0.412 0.327 0.379
0.588 0.673 0.621
0.588 0.915 0.879
0.673 0.085 0.379
0.673 0.588 0.121
0.915 0.327 0.121
0.915 0.588 0.379
```

Results
* volume: 30.5 Å³/atom
* formation energy from raw total energies: -7.8 eV per formula unit
* density: 3.613 g/cm3

***

(6)
The following is a PBE calculation of a geometry-optimized RbTiHg2Cl structure, from Alexandria.

```
RbTiHg2Cl
1.0
5.704 0.000 0.000
0.000 5.704 0.000
0.000 0.000 4.851
Rb Ti Hg Cl
1 1 2 1
direct
0.000 0.000 0.000
0.500 0.500 0.500
0.000 0.500 0.500
0.500 0.000 0.500
0.500 0.500 0.000
```

Results
* volume: 31.6 Å³/atom
* formation energy from raw total energies: -1.8 eV per formula unit
* density: 5.996 g/cm3

***

(7)
The following is a PBE calculation of a geometry-optimized RbTiHgCl6 structure, from Alexandria.

```
RbTiHgCl6
1.0
6.817 0.000 0.000
-2.348 6.440 0.000
-0.661 -1.868 6.662
Rb Ti Hg Cl
1 1 1 6
direct
0.000 0.000 0.000
0.147 0.657 0.469
0.628 0.184 0.491
0.323 0.816 0.229
0.329 0.422 0.428
0.425 0.926 0.730
0.854 0.393 0.222
0.955 0.888 0.493
0.985 0.509 0.723
```

Results
* volume: 32.5 Å³/atom
* formation energy from raw total energies: -12.2 eV per formula unit
* density: 3.104 g/cm3

***

(8)
The following is a PBE calculation of a geometry-optimized Rb2TiHgCl6 structure, from Alexandria.

```
Rb2TiHgCl6
1.0
3.953 2.283 6.977
-3.953 2.283 6.977
0.000 -4.565 6.977
Rb Ti Hg Cl
2 1 1 6
direct
0.000 0.000 0.000
0.478 0.478 0.478
0.678 0.678 0.678
0.188 0.188 0.188
0.372 0.857 0.606
0.494 0.751 0.984
0.606 0.372 0.857
0.751 0.984 0.494
0.857 0.606 0.372
0.984 0.494 0.751
```

Results
* volume: 37.8 Å³/atom
* formation energy from raw total energies: -15.7 eV per formula unit
* density: 2.779 g/cm3

***

(9)
The following is a PBE calculation of a geometry-optimized Rb2Tl2HgCl6 structure, from Alexandria.

```
Rb2Tl2HgCl6
1.0
4.086 -6.580 0.000
4.086 6.580 0.000
-2.520 0.000 7.274
Rb Tl Hg Cl
2 2 1 6
direct
0.157 0.843 0.000
0.843 0.157 0.000
0.328 0.672 0.500
0.672 0.328 0.500
0.500 0.500 0.000
0.148 0.437 0.784
0.303 0.303 0.242
0.437 0.148 0.784
0.563 0.852 0.216
0.697 0.697 0.758
0.852 0.563 0.216
```

Results
* volume: 35.6 Å³/atom
* formation energy from raw total energies: -13.5 eV per formula unit
* density: 4.216 g/cm3

***

(10)
The following is a PBE calculation of a geometry-optimized RbTl2HgCl5 structure, from Alexandria.

```
RbTl2HgCl5
1.0
-4.261 4.261 7.890
4.261 -4.261 7.890
4.261 4.261 -7.890
Rb Tl Hg Cl
2 4 2 10
direct
0.250 0.250 0.000
0.750 0.750 0.000
0.164 0.664 0.827
0.336 0.164 0.500
0.664 0.836 0.500
0.836 0.336 0.173
0.250 0.750 0.500
0.750 0.250 0.500
0.000 0.000 0.000
0.014 0.189 0.500
0.189 0.689 0.174
0.311 0.486 0.500
0.486 0.986 0.174
0.500 0.500 0.000
0.514 0.014 0.826
0.689 0.514 0.500
0.811 0.311 0.826
0.986 0.811 0.500
```

Results
* volume: 31.8 Å³/atom
* formation energy from raw total energies: -9.8 eV per formula unit
* density: 5.054 g/cm3

***

(11)
The following is a PBE calculation of a geometry-optimized RbTlHg2Cl6 structure, from Alexandria.

```
RbTlHg2Cl6
1.0
7.489 -6.831 0.000
7.489 6.831 0.000
-1.553 0.000 7.410
Rb Tl Hg Cl
2 2 4 12
direct
0.128 0.872 0.750
0.872 0.128 0.250
0.403 0.597 0.250
0.597 0.403 0.750
0.169 0.373 0.790
0.373 0.169 0.290
0.627 0.831 0.710
0.831 0.627 0.210
0.044 0.183 0.660
0.147 0.601 0.941
0.183 0.044 0.160
0.300 0.402 0.499
0.399 0.853 0.559
0.402 0.300 0.999
0.598 0.700 0.001
0.601 0.147 0.441
0.700 0.598 0.501
0.817 0.956 0.840
0.853 0.399 0.059
0.956 0.817 0.340
```

Results
* volume: 37.9 Å³/atom
* formation energy from raw total energies: -9.6 eV per formula unit
* density: 3.959 g/cm3

***

(12)
The following is a PBE calculation of a geometry-optimized Rb2TlHg2Cl7 structure, from Alexandria.

```
Rb2TlHg2Cl7
1.0
3.821 -3.821 0.000
3.821 3.821 0.000
-3.812 0.000 13.237
Rb Tl Hg Cl
2 1 2 7
direct
0.178 0.178 0.354
0.822 0.822 0.646
0.000 0.000 0.000
0.399 0.399 0.798
0.601 0.601 0.202
0.095 0.595 0.189
0.302 0.302 0.602
0.405 0.905 0.811
0.500 0.500 0.000
0.595 0.095 0.189
0.698 0.698 0.398
0.905 0.405 0.811
```

Results
* volume: 32.2 Å³/atom
* formation energy from raw total energies: -13.2 eV per formula unit
* density: 4.402 g/cm3